First-principles (GGA+U) data for crystalline MoC2F at its relaxed geometry, as listed in the Alexandria database.

Its crystal system is tetragonal. The value obtained for the total energy is -5.272 eV per atom.

The structure belongs to space group I-42d (No. 122); the cell edges are 4.830, 4.830 and 9.794 Å and the angles 90.00°, 90.00° and 90.00°. Symmetry generates all atoms from Mo at (0.000, 0.000, 0.000), C at (0.193, 0.250, 0.125) and F at (0.000, 0.000, 0.500).